No. 1
# Y3InPd

Y3InPd after structural relaxation (PBE, Alexandria).

Summary:
Space-group type: Pm-3m, No. 221
Relative energy among the computed polymorphs: 191 meV per atom
Formation enthalpy at 0 K: -0.254 eV per atom

a = 5.389 Å, b = 5.389 Å, c = 5.389 Å
α = 90.00°, β = 90.00°, γ = 90.00°
Sites, in units of the cell vectors:
Y1 0.000 0.500 0.000
Y2 0.000 0.000 0.500
Y3 0.500 0.000 0.000
Pd1 0.000 0.000 0.000
In1 0.500 0.500 0.500

=====

No. 2
# Na3VCl

Na3VCl after structural relaxation (PBE, Alexandria).

Summary:
Raw formation energy: 0.5390 eV per atom
Space-group type: Pm-3m, No. 221
Relative energy among the computed polymorphs: 454 meV per atom

a = 5.855 Å, b = 5.855 Å, c = 5.855 Å
α = 90.00°, β = 90.00°, γ = 90.00°
Sites, in units of the cell vectors:
Na1 0.000 0.500 0.000
Na2 0.000 0.000 0.500
Na3 0.500 0.000 0.000
V1 0.000 0.000 0.000
Cl1 0.500 0.500 0.500

=====

No. 3
# Pu2BPPt6

Pu2BPPt6 after structural relaxation (PBE, Alexandria).

Summary:
Space-group type: Pmmn, No. 59
Formation enthalpy at 0 K: -0.669 eV per atom

a = 6.388 Å, b = 6.994 Å, c = 7.996 Å
α = 90.00°, β = 90.00°, γ = 90.00°
Sites, in units of the cell vectors:
Pu1 0.500 0.725 0.224
Pu2 0.000 0.275 0.724
Pu3 0.500 0.725 0.776
Pu4 0.000 0.275 0.276
B1 0.000 0.839 0.500
B2 0.500 0.161 0.000
P1 0.500 0.382 0.500
P2 0.000 0.618 0.000
Pt1 0.500 0.183 0.262
Pt2 0.500 0.183 0.738
Pt3 0.000 0.817 0.238
Pt4 0.000 0.817 0.762
Pt5 0.275 0.996 0.500
Pt6 0.725 0.996 0.500
Pt7 0.213 0.580 0.500
Pt8 0.787 0.580 0.500
Pt9 0.713 0.420 0.000
Pt10 0.287 0.420 0.000
Pt11 0.225 0.004 0.000
Pt12 0.775 0.004 0.000

=====

No. 4
# Mg2BeNbPb

Mg2BeNbPb after structural relaxation (PBE, Alexandria).

Summary:
Space-group type: P4/mmm, No. 123
Formation enthalpy at 0 K: 1.102 eV per atom

a = 5.403 Å, b = 4.555 Å, c = 5.403 Å
α = 90.00°, β = 90.00°, γ = 90.00°
Sites, in units of the cell vectors:
Pb1 0.500 0.500 0.500
Be1 0.000 0.500 0.000
Nb1 0.000 0.000 0.000
Mg1 0.000 0.000 0.500
Mg2 0.500 0.000 0.000

=====

No. 5
# K2ScCu

K2ScCu after structural relaxation (PBE, Alexandria).

Summary:
Space-group type: Fm-3m, No. 225
Relative energy among the computed polymorphs: 662 meV per atom
Formation enthalpy at 0 K: 0.916 eV per atom

a = 5.895 Å, b = 5.895 Å, c = 5.895 Å
α = 60.00°, β = 60.00°, γ = 60.00°
Sites, in units of the cell vectors:
Sc1 0.000 0.000 0.000
K1 0.250 0.250 0.250
K2 0.750 0.750 0.750
Cu1 0.500 0.500 0.500

=====

No. 6
# Na2InCu2Pd5

Na2InCu2Pd5 after structural relaxation (PBE, Alexandria).

Summary:
Space-group type: P4/mbm, No. 127
Formation enthalpy at 0 K: -0.189 eV per atom

a = 3.941 Å, b = 9.338 Å, c = 9.338 Å
α = 90.00°, β = 90.00°, γ = 90.00°
Sites, in units of the cell vectors:
Na1 0.000 0.674 0.174
Na2 0.000 0.326 0.826
Na3 0.000 0.174 0.326
Na4 0.000 0.826 0.674
In1 0.000 0.000 0.000
In2 0.000 0.500 0.500
Cu1 0.000 0.122 0.622
Cu2 0.000 0.878 0.378
Cu3 0.000 0.622 0.878
Cu4 0.000 0.378 0.122
Pd1 0.500 0.205 0.069
Pd2 0.500 0.795 0.931
Pd3 0.500 0.069 0.795
Pd4 0.500 0.705 0.431
Pd5 0.500 0.931 0.205
Pd6 0.500 0.295 0.569
Pd7 0.500 0.569 0.705
Pd8 0.500 0.431 0.295
Pd9 0.500 0.500 0.000
Pd10 0.500 0.000 0.500

=====

No. 7
# NpTlIn

NpTlIn after structural relaxation (PBE, Alexandria).

Summary:
Space-group type: Cmcm, No. 63
Formation enthalpy at 0 K: 0.119 eV per atom

a = 5.447 Å, b = 3.686 Å, c = 7.788 Å
α = 90.00°, β = 110.47°, γ = 90.00°
Sites, in units of the cell vectors:
Np1 0.449 0.750 0.897
Np2 0.551 0.250 0.103
Tl1 0.742 0.750 0.484
Tl2 0.258 0.250 0.516
In1 0.917 0.250 0.834
In2 0.083 0.750 0.166

=====

No. 8
# Pr3HoTh4Se8

Pr3HoTh4Se8 after structural relaxation (PBE, Alexandria).

Summary:
Raw formation energy: -1.6664 eV per atom
Space-group type: R-3m, No. 166

a = 8.319 Å, b = 8.509 Å, c = 8.318 Å
α = 119.24°, β = 120.01°, γ = 90.00°
Sites, in units of the cell vectors:
Pr1 0.500 0.500 0.000
Pr2 0.500 0.500 0.500
Pr3 0.000 0.500 0.500
Ho1 0.000 0.500 0.000
Th1 0.500 0.000 0.000
Th2 0.500 0.000 0.500
Th3 0.000 0.000 0.000
Th4 0.000 0.000 0.500
Se1 0.244 0.745 0.001
Se2 0.244 0.745 0.488
Se3 0.250 0.249 0.499
Se4 0.757 0.745 0.001
Se5 0.243 0.255 0.999
Se6 0.750 0.751 0.501
Se7 0.756 0.255 0.512
Se8 0.756 0.255 0.999

=====

Computed values of DOS at the Fermi energy (unit: states/eV per cell) for the preceding records, in sequence: 8.59; 11.42; 47.54; 3.92; 5.44; 7.91; 8.56; 5.68.